Material: Mn2MoH2
Method: DFT, PBE
State: optimized geometry

```
Mn2MoH2
1.0
-1.374 1.374 5.889
1.374 -1.374 5.889
1.374 1.374 -5.889
Mn Mo H
2 1 2
Direct
0.158 0.158 0.000 Mn
0.842 0.842 0.000 Mn
0.500 0.500 0.000 Mo
0.250 0.750 0.500 H
0.750 0.250 0.500 H
```

Summary:
Crystal system = tetragonal
SG = I4/mmm, No. 139
Electronic total energy = -7.072 eV per atom
Calculated density = 7.76 g cm⁻³
DOS(E_F) = 0.833 states/eV/atom



Material: MnMoH2
Method: DFT, PBE
State: optimized geometry

```
MnMoH2
1.0
1.390 0.803 4.980
-1.390 0.803 4.980
0.000 -1.605 4.980
Mn Mo H
1 1 2
Direct
0.000 0.000 0.000 Mn
0.826 0.826 0.826 Mo
0.401 0.401 0.401 H
0.589 0.589 0.589 H
```

Summary:
Crystal system = trigonal
SG = R3m, No. 160
Electronic total energy = -6.458 eV per atom
Calculated density = 7.62 g cm⁻³
DOS(E_F) = 0.698 states/eV/atom



Material: Mn2NbMoH
Method: DFT, PBE
State: optimized geometry

```
Mn2NbMoH
1.0
3.757 0.000 0.000
0.000 3.757 0.000
0.000 0.000 4.275
Mn Nb Mo H
2 1 1 1
Direct
0.000 0.500 0.000 Mn
0.500 0.000 0.000 Mn
0.000 0.000 0.500 Nb
0.500 0.500 0.500 Mo
0.000 0.000 0.000 H
```

Summary:
Crystal system = tetragonal
SG = P4/mmm, No. 123
Electronic total energy = -8.433 eV per atom
Calculated density = 8.25 g cm⁻³
DOS(E_F) = 0.836 states/eV/atom



Material: MnNb2MoH
Method: DFT, PBE
State: optimized geometry

```
MnNb2MoH
1.0
4.454 0.000 0.000
0.000 4.454 0.000
0.000 0.000 3.330
Mn Nb Mo H
1 2 1 1
Direct
0.000 0.000 0.000 Mn
0.000 0.500 0.500 Nb
0.500 0.000 0.500 Nb
0.500 0.500 0.000 Mo
0.000 0.000 0.500 H
```

Summary:
Crystal system = tetragonal
SG = P4/mmm, No. 123
Electronic total energy = -8.782 eV per atom
Calculated density = 8.49 g cm⁻³
DOS(E_F) = 0.586 states/eV/atom



Material: Mn2NbMoH
Method: DFT, PBE
State: optimized geometry

```
Mn2NbMoH
1.0
3.768 0.000 0.000
0.000 3.768 0.000
0.000 0.000 4.243
Mn Nb Mo H
2 1 1 1
Direct
0.000 0.500 0.000 Mn
0.500 0.000 0.000 Mn
0.000 0.000 0.500 Nb
0.500 0.500 0.500 Mo
0.500 0.500 0.000 H
```

Summary:
Crystal system = tetragonal
SG = P4/mmm, No. 123
Electronic total energy = -8.427 eV per atom
Calculated density = 8.26 g cm⁻³
DOS(E_F) = 0.865 states/eV/atom



Material: MnNb2MoH
Method: DFT, PBE
State: optimized geometry

```
MnNb2MoH
1.0
4.456 0.000 0.000
0.000 4.456 0.000
0.000 0.000 3.367
Mn Nb Mo H
1 2 1 1
Direct
0.000 0.000 0.000 Mn
0.000 0.500 0.500 Nb
0.500 0.000 0.500 Nb
0.500 0.500 0.000 Mo
0.500 0.500 0.500 H
```

Summary:
Crystal system = tetragonal
SG = P4/mmm, No. 123
Electronic total energy = -8.625 eV per atom
Calculated density = 8.39 g cm⁻³
DOS(E_F) = 0.521 states/eV/atom



Material: MnNi2MoH
Method: DFT, PBE
State: optimized geometry

```
MnNi2MoH
1.0
3.568 0.000 0.000
0.000 3.568 0.000
0.000 0.000 3.910
Mn Ni Mo H
1 2 1 1
Direct
0.000 0.000 0.000 Mn
0.000 0.500 0.500 Ni
0.500 0.000 0.500 Ni
0.500 0.500 0.000 Mo
0.000 0.000 0.500 H
```

Summary:
Crystal system = tetragonal
SG = P4/mmm, No. 123
Electronic total energy = -6.963 eV per atom
Calculated density = 8.98 g cm⁻³
DOS(E_F) = 0.625 states/eV/atom



Material: Mn2NiMoH
Method: DFT, PBE
State: optimized geometry

```
Mn2NiMoH
1.0
3.671 0.000 0.000
0.000 3.671 0.000
0.000 0.000 3.800
Mn Ni Mo H
2 1 1 1
Direct
0.000 0.500 0.000 Mn
0.500 0.000 0.000 Mn
0.000 0.000 0.500 Ni
0.500 0.500 0.500 Mo
0.500 0.500 0.000 H
```

Summary:
Crystal system = tetragonal
SG = P4/mmm, No. 123
Electronic total energy = -7.603 eV per atom
Calculated density = 8.61 g cm⁻³
DOS(E_F) = 0.737 states/eV/atom



Material: MnNi2MoH
Method: DFT, PBE
State: optimized geometry

```
MnNi2MoH
1.0
3.591 0.000 0.000
0.000 3.591 0.000
0.000 0.000 3.995
Mn Ni Mo H
1 2 1 1
Direct
0.000 0.000 0.000 Mn
0.000 0.500 0.500 Ni
0.500 0.000 0.500 Ni
0.500 0.500 0.000 Mo
0.500 0.500 0.500 H
```

Summary:
Crystal system = tetragonal
SG = P4/mmm, No. 123
Electronic total energy = -6.956 eV per atom
Calculated density = 8.68 g cm⁻³
DOS(E_F) = 0.929 states/eV/atom



Material: Mn2NiMoH
Method: DFT, PBE
State: optimized geometry

```
Mn2NiMoH
1.0
3.766 0.000 0.000
0.000 3.766 0.000
0.000 0.000 3.561
Mn Ni Mo H
2 1 1 1
Direct
0.000 0.500 0.000 Mn
0.500 0.000 0.000 Mn
0.000 0.000 0.500 Ni
0.500 0.500 0.500 Mo
0.000 0.000 0.000 H
```

Summary:
Crystal system = tetragonal
SG = P4/mmm, No. 123
Electronic total energy = -7.658 eV per atom
Calculated density = 8.73 g cm⁻³
DOS(E_F) = 0.793 states/eV/atom